Compound: Na3NbNi2O6
Source: Alexandria
Functional: PBE+U
Structure: relaxed

Computed properties:
As for the space group: C2/m. Its uncorrected energy is -5.854 eV per atom.

POSCAR file:
```
Na3NbNi2O6
1.0
2.670 -4.626 0.000
2.670 4.626 0.000
-1.773 0.000 5.427
Na Nb Ni O
3 1 2 6
Direct
0.000 0.000 0.000 Na
0.326 0.674 0.000 Na
0.674 0.326 0.000 Na
0.500 0.500 0.500 Nb
0.166 0.834 0.500 Ni
0.834 0.166 0.500 Ni
0.112 0.431 0.293 O
0.251 0.251 0.707 O
0.431 0.112 0.293 O
0.569 0.888 0.707 O
0.749 0.749 0.293 O
0.888 0.569 0.707 O
```